The following is a PBE calculation of Er3AlHg4 after structural relaxation, from the Alexandria database.

CIF file:
```
data_Er3AlHg4
_symmetry_space_group_name_H-M 'I m m m'
_symmetry_Int_Tables_number 71
_symmetry_space_group_name_Hall '-I 2 2'
_cell_length_a 3.6196
_cell_length_b 6.7230
_cell_length_c 16.9069
_cell_angle_alpha 90.00
_cell_angle_beta 90.00
_cell_angle_gamma 90.00
loop_
_atom_site_label
_atom_site_fract_x
_atom_site_fract_y
_atom_site_fract_z
Er1 0.0000 0.0000 0.0000
Er2 0.0000 0.5000 0.2234
Al1 0.0000 0.0000 0.5000
Hg1 0.0000 0.2685 0.3778
```

Output
- Calculated formation energy: -0.2556 eV/atom
- Volume: 25.71 Å³ per atom